## i
A plane-wave DFT calculation with GGA-PBE was carried out for a relaxed structure of PuTi.

a = 3.455 Å, b = 3.455 Å, c = 3.455 Å
α = 90.00°, β = 90.00°, γ = 90.00°
Sites, in units of the cell vectors:
Pu1 0.000 0.000 0.000
Ti1 0.500 0.500 0.500

Calculated values
* crystal system: cubic

## ii
A plane-wave DFT calculation with GGA-PBE was carried out for a relaxed structure of PuTi.

a = 3.264 Å, b = 3.264 Å, c = 6.580 Å
α = 90.00°, β = 90.00°, γ = 90.00°
Sites, in units of the cell vectors:
Pu1 0.250 0.250 0.070
Pu2 0.750 0.750 0.930
Ti1 0.250 0.250 0.619
Ti2 0.750 0.750 0.381

Calculated values
* crystal system: tetragonal

Q: Which of them is the most stable? A: ii.

## i
A plane-wave DFT calculation with GGA-PBE was carried out for a relaxed structure of PuTi4.

a = 5.133 Å, b = 5.133 Å, c = 5.133 Å
α = 101.52°, β = 101.52°, γ = 126.92°
Sites, in units of the cell vectors:
Pu1 0.000 0.000 0.000
Ti1 0.193 0.500 0.693
Ti2 0.500 0.193 0.693
Ti3 0.500 0.807 0.307
Ti4 0.807 0.500 0.307

Calculated values
* crystal system: tetragonal

## ii
A plane-wave DFT calculation with GGA-PBE was carried out for a relaxed structure of PuTi4.

a = 4.575 Å, b = 4.575 Å, c = 4.575 Å
α = 90.00°, β = 90.00°, γ = 90.00°
Sites, in units of the cell vectors:
Pu1 0.000 0.000 0.000
Ti1 0.000 0.000 0.500
Ti2 0.000 0.500 0.000
Ti3 0.500 0.000 0.000
Ti4 0.500 0.500 0.500

Calculated values
* crystal system: cubic

Q: Which of them is the most stable? A: i.

## i
A plane-wave DFT calculation with GGA-PBE was carried out for a relaxed structure of Pu2TiTl.

a = 4.302 Å, b = 4.302 Å, c = 4.927 Å
α = 90.00°, β = 90.00°, γ = 90.00°
Sites, in units of the cell vectors:
Pu1 0.000 0.500 0.000
Pu2 0.500 0.000 0.000
Ti1 0.000 0.000 0.500
Tl1 0.500 0.500 0.500

Calculated values
* crystal system: tetragonal

## ii
A plane-wave DFT calculation with GGA-PBE was carried out for a relaxed structure of Pu2TiTl.

a = 4.007 Å, b = 4.007 Å, c = 6.116 Å
α = 90.00°, β = 90.00°, γ = 90.00°
Sites, in units of the cell vectors:
Pu1 0.000 0.000 0.244
Pu2 0.000 0.000 0.756
Ti1 0.500 0.500 0.000
Tl1 0.500 0.500 0.500

Calculated values
* crystal system: tetragonal

Q: Which of them is the most stable? A: i.

## i
A plane-wave DFT calculation with GGA-PBE was carried out for a relaxed structure of TmPuTi.

a = 5.059 Å, b = 5.059 Å, c = 3.142 Å
α = 90.00°, β = 90.00°, γ = 120.00°
Sites, in units of the cell vectors:
Tm1 0.000 0.000 0.000
Pu1 0.333 0.667 0.500
Ti1 0.667 0.333 0.500

Calculated values
* crystal system: hexagonal

## ii
A plane-wave DFT calculation with GGA-PBE was carried out for a relaxed structure of TmPuTi.

a = 8.231 Å, b = 8.231 Å, c = 8.231 Å
α = 94.78°, β = 94.78°, γ = 146.43°
Sites, in units of the cell vectors:
Tm1 0.168 0.168 0.336
Tm2 0.168 0.832 0.000
Tm3 0.832 0.168 0.000
Tm4 0.832 0.832 0.664
Pu1 0.000 0.375 0.375
Pu2 0.000 0.625 0.625
Pu3 0.375 0.000 0.375
Pu4 0.625 0.000 0.625
Ti1 0.258 0.500 0.758
Ti2 0.500 0.258 0.758
Ti3 0.500 0.742 0.242
Ti4 0.742 0.500 0.242

Calculated values
* crystal system: tetragonal

Q: Which of them is the most stable? A: i.

## i
A plane-wave DFT calculation with GGA-PBE was carried out for a relaxed structure of Pu2TiV.

a = 3.431 Å, b = 3.431 Å, c = 6.721 Å
α = 90.00°, β = 90.00°, γ = 90.00°
Sites, in units of the cell vectors:
Pu1 0.000 0.000 0.237
Pu2 0.000 0.000 0.763
Ti1 0.500 0.500 0.500
V1 0.500 0.500 0.000

Calculated values
* crystal system: tetragonal

## ii
A plane-wave DFT calculation with GGA-PBE was carried out for a relaxed structure of Pu2TiV.

a = 5.407 Å, b = 5.407 Å, c = 2.335 Å
α = 90.00°, β = 90.00°, γ = 90.00°
Sites, in units of the cell vectors:
Pu1 0.000 0.500 0.000
Pu2 0.500 0.000 0.000
Ti1 0.000 0.000 0.500
V1 0.500 0.500 0.500

Calculated values
* crystal system: tetragonal

Q: Which of them is the most stable? A: i.

## i
A plane-wave DFT calculation with GGA-PBE was carried out for a relaxed structure of PuTi2Zn.

a = 3.077 Å, b = 3.077 Å, c = 7.609 Å
α = 90.00°, β = 90.00°, γ = 90.00°
Sites, in units of the cell vectors:
Pu1 0.000 0.000 0.000
Ti1 0.500 0.500 0.278
Ti2 0.500 0.500 0.722
Zn1 0.000 0.000 0.500

Calculated values
* crystal system: tetragonal

## ii
A plane-wave DFT calculation with GGA-PBE was carried out for a relaxed structure of PuTi2Zn.

a = 9.481 Å, b = 9.481 Å, c = 9.481 Å
α = 18.17°, β = 18.17°, γ = 18.17°
Sites, in units of the cell vectors:
Pu1 0.000 0.000 0.000
Ti1 0.245 0.245 0.245
Ti2 0.421 0.421 0.421
Zn1 0.833 0.833 0.833

Calculated values
* crystal system: trigonal

Q: Which of them is the most stable? A: i.

## i
A plane-wave DFT calculation with GGA-PBE was carried out for a relaxed structure of PuTi2Zn.

a = 4.654 Å, b = 4.654 Å, c = 4.654 Å
α = 60.00°, β = 60.00°, γ = 60.00°
Sites, in units of the cell vectors:
Pu1 0.000 0.000 0.000
Ti1 0.250 0.250 0.250
Ti2 0.750 0.750 0.750
Zn1 0.500 0.500 0.500

Calculated values
* crystal system: cubic

## ii
A plane-wave DFT calculation with GGA-PBE was carried out for a relaxed structure of PuTi2Zn.

a = 4.752 Å, b = 4.752 Å, c = 3.089 Å
α = 90.00°, β = 90.00°, γ = 90.00°
Sites, in units of the cell vectors:
Pu1 0.000 0.000 0.000
Ti1 0.000 0.500 0.500
Ti2 0.500 0.000 0.500
Zn1 0.500 0.500 0.000

Calculated values
* crystal system: tetragonal

Q: Which of them is the most stable? A: ii.

## i
A plane-wave DFT calculation with GGA-PBE was carried out for a relaxed structure of PuTiZn.

a = 5.610 Å, b = 5.610 Å, c = 8.123 Å
α = 121.13°, β = 121.13°, γ = 27.06°
Sites, in units of the cell vectors:
Pu1 0.113 0.113 0.019
Pu2 0.887 0.887 0.981
Ti1 0.124 0.124 0.687
Ti2 0.876 0.876 0.313
Zn1 0.371 0.371 0.626
Zn2 0.629 0.629 0.374

Calculated values
* crystal system: monoclinic

## ii
A plane-wave DFT calculation with GGA-PBE was carried out for a relaxed structure of PuTiZn.

a = 4.786 Å, b = 4.786 Å, c = 2.801 Å
α = 90.00°, β = 90.00°, γ = 120.00°
Sites, in units of the cell vectors:
Pu1 0.000 0.000 0.000
Ti1 0.333 0.667 0.000
Zn1 0.667 0.333 0.500

Calculated values
* crystal system: hexagonal

Q: Which of them is the most stable? A: i.

## i
A plane-wave DFT calculation with GGA-PBE was carried out for a relaxed structure of PuZrTi.

a = 5.372 Å, b = 5.372 Å, c = 6.083 Å
α = 107.96°, β = 107.96°, γ = 50.64°
Sites, in units of the cell vectors:
Pu1 0.013 0.013 0.265
Pu2 0.987 0.987 0.735
Zr1 0.327 0.327 0.907
Zr2 0.673 0.673 0.093
Ti1 0.336 0.336 0.417
Ti2 0.664 0.664 0.583

Calculated values
* crystal system: monoclinic

## ii
A plane-wave DFT calculation with GGA-PBE was carried out for a relaxed structure of PuZrTi.

a = 4.883 Å, b = 4.883 Å, c = 3.084 Å
α = 90.00°, β = 90.00°, γ = 120.00°
Sites, in units of the cell vectors:
Pu1 0.000 0.000 0.000
Zr1 0.333 0.667 0.500
Ti1 0.667 0.333 0.000

Calculated values
* crystal system: hexagonal

Q: Which of them is the most stable? A: ii.

## i
A plane-wave DFT calculation with GGA-PBE was carried out for a relaxed structure of PuZr2Ti.

a = 5.156 Å, b = 5.156 Å, c = 3.245 Å
α = 90.00°, β = 90.00°, γ = 90.00°
Sites, in units of the cell vectors:
Pu1 0.000 0.000 0.000
Zr1 0.000 0.500 0.500
Zr2 0.500 0.000 0.500
Ti1 0.500 0.500 0.000

Calculated values
* crystal system: tetragonal

## ii
A plane-wave DFT calculation with GGA-PBE was carried out for a relaxed structure of PuZr2Ti.

a = 3.642 Å, b = 3.642 Å, c = 6.626 Å
α = 90.00°, β = 90.00°, γ = 90.00°
Sites, in units of the cell vectors:
Pu1 0.000 0.000 0.000
Zr1 0.500 0.500 0.273
Zr2 0.500 0.500 0.727
Ti1 0.000 0.000 0.500

Calculated values
* crystal system: tetragonal

## iii
A plane-wave DFT calculation with GGA-PBE was carried out for a relaxed structure of PuZr2Ti.

a = 4.971 Å, b = 4.971 Å, c = 4.971 Å
α = 60.00°, β = 60.00°, γ = 60.00°
Sites, in units of the cell vectors:
Pu1 0.000 0.000 0.000
Zr1 0.250 0.250 0.250
Zr2 0.750 0.750 0.750
Ti1 0.500 0.500 0.500

Calculated values
* crystal system: cubic

Q: Which of them is the most stable? A: ii.

## i
A plane-wave DFT calculation with GGA-PBE was carried out for a relaxed structure of Pu2Tl3.

a = 6.862 Å, b = 6.862 Å, c = 5.310 Å
α = 90.00°, β = 90.00°, γ = 90.00°
Sites, in units of the cell vectors:
Pu1 0.088 0.774 0.000
Pu2 0.226 0.088 0.000
Pu3 0.774 0.912 0.000
Pu4 0.912 0.226 0.000
Tl1 0.000 0.000 0.500
Tl2 0.195 0.407 0.500
Tl3 0.407 0.805 0.500
Tl4 0.500 0.500 0.000
Tl5 0.593 0.195 0.500
Tl6 0.805 0.593 0.500

Calculated values
* crystal system: tetragonal

## ii
A plane-wave DFT calculation with GGA-PBE was carried out for a relaxed structure of Pu2Tl3.

a = 12.139 Å, b = 12.139 Å, c = 12.139 Å
α = 163.93°, β = 163.93°, γ = 22.80°
Sites, in units of the cell vectors:
Pu1 0.099 0.099 0.000
Pu2 0.901 0.901 0.000
Tl1 0.300 0.300 0.000
Tl2 0.500 0.500 0.000
Tl3 0.700 0.700 0.000

Calculated values
* crystal system: tetragonal

Q: Which of them is the most stable? A: ii.

## i
A plane-wave DFT calculation with GGA-PBE was carried out for a relaxed structure of TmPuTl2.

a = 3.382 Å, b = 3.382 Å, c = 9.311 Å
α = 90.00°, β = 90.00°, γ = 90.00°
Sites, in units of the cell vectors:
Tm1 0.000 0.000 0.000
Pu1 0.000 0.000 0.500
Tl1 0.500 0.500 0.244
Tl2 0.500 0.500 0.756

Calculated values
* crystal system: tetragonal

## ii
A plane-wave DFT calculation with GGA-PBE was carried out for a relaxed structure of TmPuTl2.

a = 10.615 Å, b = 10.615 Å, c = 10.615 Å
α = 19.21°, β = 19.21°, γ = 19.21°
Sites, in units of the cell vectors:
Tm1 0.000 0.000 0.000
Pu1 0.832 0.832 0.832
Tl1 0.414 0.414 0.414
Tl2 0.585 0.585 0.585

Calculated values
* crystal system: trigonal

Q: Which of them is the most stable? A: i.

## i
A plane-wave DFT calculation with GGA-PBE was carried out for a relaxed structure of TmPuTl.

a = 5.660 Å, b = 5.660 Å, c = 5.974 Å
α = 90.00°, β = 90.00°, γ = 120.00°
Sites, in units of the cell vectors:
Tm1 0.333 0.667 0.250
Tm2 0.667 0.333 0.750
Pu1 0.000 0.000 0.250
Pu2 0.000 0.000 0.750
Tl1 0.333 0.667 0.750
Tl2 0.667 0.333 0.250

Calculated values
* crystal system: hexagonal

## ii
A plane-wave DFT calculation with GGA-PBE was carried out for a relaxed structure of TmPuTl.

a = 9.086 Å, b = 9.086 Å, c = 9.086 Å
α = 159.78°, β = 159.78°, γ = 28.74°
Sites, in units of the cell vectors:
Tm1 0.000 0.000 0.000
Pu1 0.180 0.180 0.000
Tl1 0.360 0.360 0.000

Calculated values
* crystal system: tetragonal

## iii
A plane-wave DFT calculation with GGA-PBE was carried out for a relaxed structure of TmPuTl.

a = 5.300 Å, b = 5.300 Å, c = 3.431 Å
α = 90.00°, β = 90.00°, γ = 120.00°
Sites, in units of the cell vectors:
Tm1 0.000 0.000 0.000
Pu1 0.333 0.667 0.562
Tl1 0.667 0.333 0.220

Calculated values
* crystal system: trigonal

Q: Which of them is the most stable? A: iii.